<a>
DFT (GGA-PBE) results for crystalline HoHfMg2 at its relaxed geometry.

The structure in CIF format:
```
data_HoHfMg2
_space_group_name_H-M_alt 'P 1'
_space_group_IT_number 1
_cell_length_a 11.076
_cell_length_b 11.076
_cell_length_c 11.076
_cell_angle_alpha 16.73
_cell_angle_beta 16.73
_cell_angle_gamma 16.73
loop_
_space_group_symop_operation_xyz
'x,y,z'
loop_
_atom_site_label
_atom_site_type_symbol
_atom_site_fract_x
_atom_site_fract_y
_atom_site_fract_z
Ho1 Ho 0.000 0.000 0.000
Hf1 Hf 0.500 0.500 0.500
Mg1 Mg 0.246 0.246 0.246
Mg2 Mg 0.754 0.754 0.754
```

Output
SG: R-3m
Volume: 98 Å³/cell
Spin magnetization: 0.0 Bohr magnetons per cell

<b>
DFT (GGA-PBE) results for crystalline HoHfMg2 at its relaxed geometry.

The structure in CIF format:
```
data_HoHfMg2
_space_group_name_H-M_alt 'P 1'
_space_group_IT_number 1
_cell_length_a 3.596
_cell_length_b 3.596
_cell_length_c 7.381
_cell_angle_alpha 90.00
_cell_angle_beta 90.00
_cell_angle_gamma 90.00
loop_
_space_group_symop_operation_xyz
'x,y,z'
loop_
_atom_site_label
_atom_site_type_symbol
_atom_site_fract_x
_atom_site_fract_y
_atom_site_fract_z
Ho1 Ho 0.000 0.000 0.000
Hf1 Hf 0.000 0.000 0.500
Mg1 Mg 0.500 0.500 0.270
Mg2 Mg 0.500 0.500 0.730
```

Output
SG: P4/mmm
Volume: 95 Å³/cell
Spin magnetization: 0.0 Bohr magnetons per cell

<c>
DFT (GGA-PBE) results for crystalline HoHfMg2 at its relaxed geometry.

The structure in CIF format:
```
data_HoHfMg2
_space_group_name_H-M_alt 'P 1'
_space_group_IT_number 1
_cell_length_a 5.124
_cell_length_b 5.124
_cell_length_c 5.124
_cell_angle_alpha 60.00
_cell_angle_beta 60.00
_cell_angle_gamma 60.00
loop_
_space_group_symop_operation_xyz
'x,y,z'
loop_
_atom_site_label
_atom_site_type_symbol
_atom_site_fract_x
_atom_site_fract_y
_atom_site_fract_z
Ho1 Ho 0.000 0.000 0.000
Hf1 Hf 0.500 0.500 0.500
Mg1 Mg 0.250 0.250 0.250
Mg2 Mg 0.750 0.750 0.750
```

Output
SG: Fm-3m
Volume: 95 Å³/cell
Spin magnetization: 0.0 Bohr magnetons per cell

Which of them is least stable? Easy: <a>.

<a>
DFT (GGA-PBE) results for crystalline HoHfN at its relaxed geometry.

The structure in CIF format:
```
data_HoHfN
_space_group_name_H-M_alt 'P 1'
_space_group_IT_number 1
_cell_length_a 3.150
_cell_length_b 3.150
_cell_length_c 5.251
_cell_angle_alpha 90.00
_cell_angle_beta 90.00
_cell_angle_gamma 90.00
loop_
_space_group_symop_operation_xyz
'x,y,z'
loop_
_atom_site_label
_atom_site_type_symbol
_atom_site_fract_x
_atom_site_fract_y
_atom_site_fract_z
Ho1 Ho 0.000 0.000 0.000
Hf1 Hf 0.500 0.500 0.500
N1 N 0.000 0.000 0.500
```

Output
SG: P4/mmm
Volume: 52 Å³/cell
Spin magnetization: 0.0 Bohr magnetons per cell

<b>
DFT (GGA-PBE) results for crystalline HoHfN at its relaxed geometry.

The structure in CIF format:
```
data_HoHfN
_space_group_name_H-M_alt 'P 1'
_space_group_IT_number 1
_cell_length_a 3.331
_cell_length_b 3.331
_cell_length_c 5.573
_cell_angle_alpha 90.00
_cell_angle_beta 90.00
_cell_angle_gamma 120.00
loop_
_space_group_symop_operation_xyz
'x,y,z'
loop_
_atom_site_label
_atom_site_type_symbol
_atom_site_fract_x
_atom_site_fract_y
_atom_site_fract_z
Ho1 Ho 0.000 0.000 0.000
Hf1 Hf 0.667 0.333 0.534
N1 N 0.333 0.667 0.740
```

Output
SG: P3m1
Volume: 54 Å³/cell
Spin magnetization: 0.2 Bohr magnetons per cell

Which of them is least stable? Easy: <a>.